1.
Pm3CdSn4: optimized geometry, PBE.

Unit cell a=10.423 b=6.498 c=6.473 alpha=90.00 beta=90.00 gamma=90.00
Fractional positions:
Pm1 0.000 0.075 0.000
Pm2 0.237 0.705 0.219
Pm3 0.263 0.295 0.719
Pm4 0.500 0.925 0.500
Pm5 0.737 0.295 0.719
Pm6 0.763 0.705 0.219
Cd1 0.000 0.448 0.450
Cd2 0.500 0.552 0.950
Sn1 0.000 0.553 0.936
Sn2 0.000 0.979 0.489
Sn3 0.226 0.795 0.722
Sn4 0.274 0.205 0.222
Sn5 0.500 0.021 0.989
Sn6 0.500 0.447 0.436
Sn7 0.726 0.205 0.222
Sn8 0.774 0.795 0.722

Calculated values
Total magnetic moment   0.000 μB per atom
Calculated total energy   -4.462 eV per atom
Volume   438.4 Å³/cell
E_form   -13.01 kcal/mol of atoms

---

2.
YTaSi: optimized geometry, PBE.

Unit cell a=3.611 b=3.611 c=5.883 alpha=90.00 beta=90.00 gamma=120.00
Fractional positions:
Y1 0.000 0.000 0.000
Ta1 0.333 0.667 0.576
Si1 0.667 0.333 0.338

Calculated values
Raw formation energy   0.1 eV per formula unit
Total magnetic moment   0.045 μB per atom
Calculated total energy   -7.894 eV per atom
Volume   66.4 Å³/cell

---

3.
CaCu4Si2: optimized geometry, PBE.

Unit cell a=7.413 b=7.413 c=3.804 alpha=90.00 beta=90.00 gamma=90.00
Fractional positions:
Ca1 0.000 0.000 0.000
Ca2 0.500 0.500 0.500
Cu1 0.084 0.338 0.500
Cu2 0.162 0.584 0.000
Cu3 0.338 0.084 0.500
Cu4 0.416 0.838 0.000
Cu5 0.584 0.162 0.000
Cu6 0.662 0.916 0.500
Cu7 0.838 0.416 0.000
Cu8 0.916 0.662 0.500
Si1 0.221 0.779 0.500
Si2 0.279 0.279 0.000
Si3 0.721 0.721 0.000
Si4 0.779 0.221 0.500

Calculated values
Raw formation energy   -1.6 eV per formula unit
Total magnetic moment   0.000 μB per atom
Calculated total energy   -4.408 eV per atom
Volume   209.0 Å³/cell

---

4.
Li2Re: optimized geometry, PBE.

Unit cell a=7.224 b=7.224 c=7.224 alpha=159.66 beta=159.66 gamma=28.92
Fractional positions:
Li1 0.156 0.156 0.000
Li2 0.844 0.844 0.000
Re1 0.500 0.500 0.000

Calculated values
Total magnetic moment   0.000 μB per atom
Calculated total energy   -5.187 eV per atom
Distance to the lowest polymorph of the same formula   44 meV per atom
Volume   45.5 Å³/cell
E_form   5.49 kcal/mol of atoms

---

5.
NaTl8Cd2: optimized geometry, PBE.

Unit cell a=8.280 b=8.280 c=5.859 alpha=99.03 beta=99.03 gamma=60.74
Fractional positions:
Na1 0.000 0.000 0.000
Tl1 0.222 0.222 0.100
Tl2 0.237 0.626 0.221
Tl3 0.352 0.352 0.678
Tl4 0.374 0.763 0.779
Tl5 0.626 0.237 0.221
Tl6 0.648 0.648 0.322
Tl7 0.763 0.374 0.779
Tl8 0.778 0.778 0.900
Cd1 0.119 0.119 0.525
Cd2 0.881 0.881 0.475

Calculated values
Total magnetic moment   0.000 μB per atom
Calculated total energy   -1.936 eV per atom
Distance to the lowest polymorph of the same formula   80 meV per atom
Volume   344.6 Å³/cell
E_form   1.63 kcal/mol of atoms

---

6.
Hg2Ru: optimized geometry, PBE.

Unit cell a=7.667 b=7.667 c=4.838 alpha=90.00 beta=90.00 gamma=156.58
Fractional positions:
Hg1 0.059 0.941 0.750
Hg2 0.270 0.730 0.250
Hg3 0.730 0.270 0.750
Hg4 0.941 0.059 0.250
Ru1 0.393 0.607 0.750
Ru2 0.607 0.393 0.250

Calculated values
Total magnetic moment   0.269 μB per atom
Calculated total energy   -2.669 eV per atom
Volume   113.0 Å³/cell
E_form   14.40 kcal/mol of atoms

---

7.
MnNi4Br: optimized geometry, PBE.

Unit cell a=4.850 b=4.850 c=4.850 alpha=60.00 beta=60.00 gamma=60.00
Fractional positions:
Mn1 0.000 0.000 0.000
Ni1 0.122 0.626 0.626
Ni2 0.626 0.122 0.626
Ni3 0.626 0.626 0.122
Ni4 0.626 0.626 0.626
Br1 0.250 0.250 0.250

Calculated values
Raw formation energy   2.6 eV per formula unit
Total magnetic moment   0.977 μB per atom
Calculated total energy   -5.231 eV per atom
Volume   80.7 Å³/cell

---

8.
ZrTi2Se2: optimized geometry, PBE.

Unit cell a=6.412 b=6.412 c=5.362 alpha=107.14 beta=107.14 gamma=98.02
Fractional positions:
Zr1 0.103 0.897 0.750
Zr2 0.897 0.103 0.250
Ti1 0.219 0.398 0.989
Ti2 0.398 0.219 0.489
Ti3 0.602 0.781 0.511
Ti4 0.781 0.602 0.011
Se1 0.194 0.806 0.250
Se2 0.385 0.615 0.750
Se3 0.615 0.385 0.250
Se4 0.806 0.194 0.750

Calculated values
Raw formation energy   -3.7 eV per formula unit
Total magnetic moment   0.000 μB per atom
Calculated total energy   -6.996 eV per atom
Volume   195.0 Å³/cell

---

9.
Tl2SiN: optimized geometry, PBE.

Unit cell a=6.877 b=6.877 c=6.877 alpha=129.28 beta=129.28 gamma=74.56
Fractional positions:
Tl1 0.071 0.625 0.946
Tl2 0.375 0.321 0.446
Tl3 0.679 0.125 0.054
Tl4 0.875 0.929 0.554
Si1 0.250 0.750 0.500
Si2 0.500 0.500 0.000
N1 0.000 0.000 0.000
N2 0.750 0.250 0.500

Calculated values
Raw formation energy   3.5 eV per formula unit
Total magnetic moment   0.000 μB per atom
Calculated total energy   -3.746 eV per atom
Distance to the lowest polymorph of the same formula   0 meV per atom
Volume   189.9 Å³/cell

---

10.
BeAsPt: optimized geometry, PBE.

Unit cell a=4.072 b=4.072 c=4.072 alpha=60.00 beta=60.00 gamma=60.00
Fractional positions:
Be1 0.000 0.000 0.000
As1 0.500 0.500 0.500
Pt1 0.750 0.750 0.750

Calculated values
Total magnetic moment   0.000 μB per atom
Calculated total energy   -5.115 eV per atom
Distance to the lowest polymorph of the same formula   0 meV per atom
Volume   47.7 Å³/cell
E_form   -7.14 kcal/mol of atoms

---

11.
SmSiPt4: optimized geometry, PBE.

Unit cell a=8.020 b=8.020 c=6.775 alpha=90.00 beta=90.00 gamma=151.35
Fractional positions:
Sm1 0.103 0.897 0.750
Sm2 0.897 0.103 0.250
Si1 0.237 0.763 0.250
Si2 0.763 0.237 0.750
Pt1 0.083 0.917 0.250
Pt2 0.316 0.684 0.545
Pt3 0.316 0.684 0.955
Pt4 0.500 0.500 0.000
Pt5 0.500 0.500 0.500
Pt6 0.684 0.316 0.045
Pt7 0.684 0.316 0.455
Pt8 0.917 0.083 0.750

Calculated values
Raw formation energy   -5.5 eV per formula unit
Total magnetic moment   0.000 μB per atom
Calculated total energy   -6.640 eV per atom
Distance to the lowest polymorph of the same formula   0 meV per atom
Volume   208.9 Å³/cell

---

12.
Zr5Zn4Ga: optimized geometry, PBE.

Unit cell a=3.273 b=3.273 c=17.505 alpha=90.00 beta=90.00 gamma=90.00
Fractional positions:
Zr1 0.000 0.000 0.000
Zr2 0.000 0.000 0.197
Zr3 0.000 0.000 0.397
Zr4 0.000 0.000 0.603
Zr5 0.000 0.000 0.803
Zn1 0.500 0.500 0.098
Zn2 0.500 0.500 0.294
Zn3 0.500 0.500 0.706
Zn4 0.500 0.500 0.902
Ga1 0.500 0.500 0.500

Calculated values
Total magnetic moment   0.000 μB per atom
Calculated total energy   -5.396 eV per atom
Volume   187.5 Å³/cell
E_form   -7.13 kcal/mol of atoms